No. 1
HfAlGa after structural relaxation. Source: the Alexandria database, functional PBE-GGA.

Cell and atoms, written as extended XYZ:
```
12
Lattice="-0.4371 5.6716 -1.3301 -3.3436 -0.7342 -2.0321 -4.6833 -1.8418 8.3711" Properties=species:S:1:pos:R:3 pbc="T T T"
Hf -3.2373 4.0965 3.8464
Hf -2.5674 4.6503 -1.3553
Hf -1.5760 0.9756 2.2406
Hf -5.5895 -0.3124 5.4101
Al -1.6541 3.7968 1.3497
Al -5.6675 2.5088 4.5192
Al -4.5274 -1.2192 7.8896
Al -3.8575 -0.6654 2.6880
Ga -3.1721 1.2751 4.7585
Ga -2.5023 1.8289 -0.4431
Ga -4.7470 1.6198 7.2252
Ga -4.0771 2.1736 2.0235
```

**Symmetry**: Cm (8)
**VASP energy**: -5.97 eV per atom
**DFT formation energy**: -0.40 eV per atom
**Magnetic moment**: 0.00 μB/f.u.

***

No. 2
HfAlGa after structural relaxation. Source: the Alexandria database, functional PBE-GGA.

Cell and atoms, written as extended XYZ:
```
12
Lattice="-3.0052 -2.6315 -0.7191 5.3360 -5.7688 -1.1896 -0.2065 -1.5037 6.3660" Properties=species:S:1:pos:R:3 pbc="T T T"
Hf 0.9551 -2.5041 -0.5550
Hf 1.3753 -5.8986 -1.3432
Hf 2.0172 -7.4561 1.6737
Hf 0.1067 -2.4504 2.7941
Al 2.3655 -4.5430 1.0118
Al -0.1581 -4.7550 0.8799
Al -1.9084 -3.7262 4.4300
Al 3.9093 -7.0755 3.8276
Ga 2.2850 -5.1530 3.5805
Ga -0.2442 -5.3588 3.4499
Ga -1.7823 -2.8324 0.6328
Ga 4.0296 -6.1756 0.0316
```

**Symmetry**: Ima2 (46)
**VASP energy**: -5.99 eV per atom
**DFT formation energy**: -0.42 eV per atom
**Magnetic moment**: 0.00 μB/f.u.

***

No. 3
Hf3Al2Ga after structural relaxation. Source: the Alexandria database, functional PBE-GGA.

Cell and atoms, written as extended XYZ:
```
12
Lattice="-1.0795 -2.1266 -3.4888 1.0225 -6.5884 1.1032 -8.8331 -2.8530 -0.6511" Properties=species:S:1:pos:R:3 pbc="T T T"
Hf -6.4289 -7.4178 -1.1958
Hf -1.4660 -7.8341 0.0716
Hf -2.4613 -4.1503 -1.8409
Hf -2.4824 -7.0481 -2.6404
Hf -6.4078 -4.5200 -0.3963
Hf -7.4242 -3.7340 -3.1084
Al 0.0000 0.0000 0.0000
Al -4.9563 -2.4898 -2.0699
Al -3.9190 -6.1588 -0.1789
Al -4.9712 -5.4093 -2.8579
Ga -8.8555 -8.7174 -2.2131
Ga -0.0347 -2.8506 -0.8236
```

**Symmetry**: P2/m (10)
**VASP energy**: -7.09 eV per atom
**DFT formation energy**: -0.36 eV per atom
**Magnetic moment**: 0.00 μB/f.u.

***

No. 4
Hf3Al4Ga2 after structural relaxation. Source: the Alexandria database, functional PBE-GGA.

Cell and atoms, written as extended XYZ:
```
9
Lattice="-1.1840 3.5698 -1.7841 -5.3794 -0.2976 2.9744 5.8310 1.5994 4.1870" Properties=species:S:1:pos:R:3 pbc="T T T"
Hf 1.7100 4.2255 2.4637
Hf -2.4424 0.6461 2.9136
Hf 0.0000 0.0000 0.0000
Al -1.9737 1.9960 0.4474
Al -1.2787 3.4473 2.8900
Al 1.2413 2.8755 4.9299
Al 0.5463 1.4243 2.4873
Ga -1.4499 2.1053 5.1747
Ga 0.7175 2.7663 0.2027
```

**Symmetry**: C2/m (12)
**VASP energy**: -6.02 eV per atom
**DFT formation energy**: -0.36 eV per atom
**Magnetic moment**: 0.00 μB/f.u.

***

No. 5
Hf4AlGa5 after structural relaxation. Source: the Alexandria database, functional PBE-GGA.

Cell and atoms, written as extended XYZ:
```
10
Lattice="5.5671 0.0000 0.0000 2.7835 5.8337 0.0000 2.7835 0.0000 5.8337" Properties=species:S:1:pos:R:3 pbc="T T T"
Hf 5.3015 2.1952 4.3414
Hf 8.0851 4.3414 3.6385
Hf 2.5180 1.4923 2.1952
Hf 5.3015 3.6385 1.4923
Al 1.2721 0.0000 0.0000
Ga 8.0819 1.9855 4.9845
Ga 5.2984 4.9845 3.8482
Ga 5.2984 0.8493 1.9855
Ga 2.5148 3.8482 0.8493
Ga 3.7057 0.0000 0.0000
```

**Symmetry**: I4 (79)
**VASP energy**: -6.04 eV per atom
**DFT formation energy**: -0.18 eV per atom
**Magnetic moment**: 0.00 μB/f.u.

***

No. 6
KHf2AlGa after structural relaxation. Source: the Alexandria database, functional PBE-GGA.

Cell and atoms, written as extended XYZ:
```
5
Lattice="-1.2390 3.0260 3.9199 -5.2937 -1.2346 -0.7201 0.4852 -3.9471 3.2004" Properties=species:S:1:pos:R:3 pbc="T T T"
K -2.6469 -0.6173 -0.3601
Hf 0.2426 -1.9736 1.6002
Hf -0.6195 1.5130 1.9599
Al -3.0238 -1.0779 3.2001
Ga 0.0000 0.0000 0.0000
```

**Symmetry**: P4/mmm (123)
**VASP energy**: -4.61 eV per atom
**DFT formation energy**: 0.94 eV per atom
**Magnetic moment**: 0.00 μB/f.u.

***

No. 7
HfAlGaPd after structural relaxation. Source: the Alexandria database, functional PBE-GGA.

Cell and atoms, written as extended XYZ:
```
4
Lattice="-0.6156 -4.2095 -1.7038 1.6461 -3.6425 2.2414 -2.8744 -2.9104 2.0661" Properties=species:S:1:pos:R:3 pbc="T T T"
Hf -0.9220 -5.3812 1.3019
Ga -1.3829 -8.0718 1.9528
Pd -0.4610 -2.6906 0.6509
Al 0.0000 0.0000 0.0000
```

**Symmetry**: F-43m (216)
**VASP energy**: -5.97 eV per atom
**DFT formation energy**: -0.49 eV per atom
**Magnetic moment**: 0.00 μB/f.u.

***

No. 8
PuHfAlGa after structural relaxation. Source: the Alexandria database, functional PBE-GGA.

Cell and atoms, written as extended XYZ:
```
4
Lattice="-2.2242 3.0968 3.0356 -4.2473 -1.2265 2.0515 -0.2079 -0.9880 4.7679" Properties=species:S:1:pos:R:3 pbc="T T T"
Hf -1.6698 0.2206 2.4638
Al -3.3397 0.4411 4.9276
Ga 0.0000 0.0000 0.0000
Pu -5.0095 0.6617 7.3913
```

**Symmetry**: F-43m (216)
**VASP energy**: -7.98 eV per atom
**DFT formation energy**: -0.22 eV per atom
**Magnetic moment**: 5.77 μB/f.u.

***

Among the records above, which one has the highest DFT formation energy?
KHf2AlGa

***

Among the records above, which one has the lowest VASP energy?
PuHfAlGa

***

VASP energy of number 3 (Hf3Al2Ga)?
-7.09 eV per atom